An optimized crystal structure of Ba2U3NiO12. Source: Alexandria, functional PBE with a Hubbard U.

Output
The density of states at the Fermi level is 0.00 states/eV/cell. Its space group is No. 166. As for the total DFT energy (no corrections): -150.5 eV/cell. For the volume, the calculation gives 326.04 Å³ per cell.

Lattice parameters (Å, degrees): 7.457 7.457 7.457 65.12 65.12 65.12
Fractional coordinates of all 18 atoms:
O  0.671  0.039  0.671
O  0.936  0.936  0.313
O  0.064  0.064  0.687
U  0.500  0.000  0.000
O  0.936  0.313  0.936
Ba  0.669  0.669  0.669
O  0.961  0.329  0.329
Ni  0.000  0.000  0.000
O  0.687  0.064  0.064
U  0.000  0.000  0.500
O  0.039  0.671  0.671
Ba  0.331  0.331  0.331
O  0.064  0.687  0.064
O  0.329  0.329  0.961
O  0.671  0.671  0.039
U  0.000  0.500  0.000
O  0.313  0.936  0.936
O  0.329  0.961  0.329